Entry 1:
# PBE NaTl4In4, relaxed
data_NaTl4In4
_cell_length_a 10.543
_cell_length_b 10.543
_cell_length_c 4.598
_cell_angle_alpha 90.00
_cell_angle_beta 90.00
_cell_angle_gamma 90.00
_space_group_name_H-M_alt 'I 4/m'
_space_group_IT_number 87
_space_group_name_Hall '-I 4'
loop_
_atom_site_label
_atom_site_type_symbol
_atom_site_fract_x
_atom_site_fract_y
_atom_site_fract_z
_atom_site_occupancy
Na1 Na 0.000 0.000 0.000 1
Tl1 Tl 0.166 0.833 0.500 1
In1 In 0.001 0.342 0.000 1
# formation energy	-0.0268	eV/atom
# electronic total energy	-2.44	eV per atom
# E above lowest polymorph	0.00	eV per formula unit

Entry 2:
# PBE Ag2PRh, relaxed
data_Ag2PRh
_cell_length_a 5.165
_cell_length_b 8.527
_cell_length_c 2.935
_cell_angle_alpha 90.00
_cell_angle_beta 90.00
_cell_angle_gamma 90.00
_space_group_name_H-M_alt 'C m m m'
_space_group_IT_number 65
_space_group_name_Hall '-C 2 2'
loop_
_atom_site_label
_atom_site_type_symbol
_atom_site_fract_x
_atom_site_fract_y
_atom_site_fract_z
_atom_site_occupancy
Ag1 Ag 0.250 0.250 0.000 1
P1 P 0.000 0.000 0.500 1
Rh1 Rh 0.000 0.500 0.500 1
# formation energy	0.2918	eV/atom
# electronic total energy	-4.32	eV per atom

Entry 3:
# PBE ErHf3Al8, relaxed
data_ErHf3Al8
_cell_length_a 5.3363
_cell_length_b 5.3363
_cell_length_c 26.1847
_cell_angle_alpha 90.00
_cell_angle_beta 90.00
_cell_angle_gamma 120.00
_space_group_name_H-M_alt 'R 3 m'
_space_group_IT_number 160
_space_group_name_Hall 'R 3 -2"'
loop_
_atom_site_label
_atom_site_type_symbol
_atom_site_fract_x
_atom_site_fract_y
_atom_site_fract_z
_atom_site_occupancy
Er1 Er 0.0000 0.0000 0.0000 1
Hf1 Hf 0.0000 0.0000 0.1263 1
Hf2 Hf 0.0000 0.0000 0.5006 1
Hf3 Hf 0.0000 0.0000 0.6227 1
Al1 Al 0.0000 0.0000 0.3121 1
Al2 Al 0.0000 0.0000 0.8127 1
Al3 Al 0.0007 0.5003 0.0641 1
Al4 Al 0.1674 0.3348 0.8945 1
# formation energy	-0.4491	eV/atom
# electronic total energy	-5.81	eV per atom
# E above lowest polymorph	0.00	eV per formula unit

Entry 4:
# PBE CaH3Pd3, relaxed
data_CaH3Pd3
_cell_length_a 5.2781
_cell_length_b 5.2781
_cell_length_c 21.4055
_cell_angle_alpha 90.00
_cell_angle_beta 90.00
_cell_angle_gamma 120.00
_space_group_name_H-M_alt 'R -3'
_space_group_IT_number 148
_space_group_name_Hall '-R 3'
loop_
_atom_site_label
_atom_site_type_symbol
_atom_site_fract_x
_atom_site_fract_y
_atom_site_fract_z
_atom_site_occupancy
Ca1 Ca 0.0000 0.0000 0.1669 1
H1 H 0.0004 0.3318 0.7486 1
Pd1 Pd 0.0018 0.3303 0.6102 1
# electronic total energy	-4.20	eV per atom
# E above lowest polymorph	1.06	eV per formula unit

Entry 5:
# PBE PuBi2Au9, relaxed
data_PuBi2Au9
_cell_length_a 5.6378
_cell_length_b 5.6378
_cell_length_c 28.3646
_cell_angle_alpha 90.00
_cell_angle_beta 90.00
_cell_angle_gamma 120.00
_space_group_name_H-M_alt 'R -3 m'
_space_group_IT_number 166
_space_group_name_Hall '-R 3 2"'
loop_
_atom_site_label
_atom_site_type_symbol
_atom_site_fract_x
_atom_site_fract_y
_atom_site_fract_z
_atom_site_occupancy
Pu1 Pu 0.0000 0.0000 0.0000 1
Bi1 Bi 0.0000 0.0000 0.1462 1
Au1 Au 0.0000 0.0000 0.3331 1
Au2 Au 0.0000 0.0000 0.5000 1
Au3 Au 0.0022 0.5011 0.9171 1
# formation energy	-0.1303	eV/atom
# electronic total energy	-4.43	eV per atom

Entry 6:
# PBE CsSr3Ta, relaxed
data_CsSr3Ta
_cell_length_a 5.981
_cell_length_b 5.981
_cell_length_c 5.981
_cell_angle_alpha 90.00
_cell_angle_beta 90.00
_cell_angle_gamma 90.00
_space_group_name_H-M_alt 'P m -3 m'
_space_group_IT_number 221
_space_group_name_Hall '-P 4 2 3'
loop_
_atom_site_label
_atom_site_type_symbol
_atom_site_fract_x
_atom_site_fract_y
_atom_site_fract_z
_atom_site_occupancy
Cs1 Cs 0.000 0.000 0.000 1
Sr1 Sr 0.000 0.000 0.500 1
Ta1 Ta 0.500 0.500 0.500 1
# formation energy	1.9210	eV/atom
# electronic total energy	-1.63	eV per atom

Entry 7:
# PBE U2NiS4, relaxed
data_U2NiS4
_cell_length_a 7.392
_cell_length_b 7.917
_cell_length_c 5.220
_cell_angle_alpha 90.00
_cell_angle_beta 90.00
_cell_angle_gamma 90.00
_space_group_name_H-M_alt 'P m m n'
_space_group_IT_number 59
loop_
_space_group_symop_operation_xyz
'x,y,z'
'-x,-y,-z'
'-x+1/2,-y+1/2,z'
'x+1/2,y+1/2,-z'
'x+1/2,-y,-z'
'-x+1/2,y,z'
'-x,y+1/2,-z'
'x,-y+1/2,z'
loop_
_atom_site_label
_atom_site_type_symbol
_atom_site_fract_x
_atom_site_fract_y
_atom_site_fract_z
_atom_site_occupancy
U1 U 0.250 0.002 0.075 1
Ni1 Ni 0.250 0.250 0.651 1
S1 S 0.005 0.250 0.956 1
S2 S 0.250 0.522 0.569 1
# raw formation energy	-0.999	eV/atom
# electronic total energy	-7.41	eV per atom

Entry 8:
# PBE TaReAg2, relaxed
data_TaReAg2
_cell_length_a 9.423
_cell_length_b 2.701
_cell_length_c 5.331
_cell_angle_alpha 90.00
_cell_angle_beta 95.93
_cell_angle_gamma 90.00
_space_group_name_H-M_alt 'C 1 m 1'
_space_group_IT_number 8
loop_
_space_group_symop_operation_xyz
'x,y,z'
'x,-y,z'
'x+1/2,y+1/2,z'
'x+1/2,-y+1/2,z'
loop_
_atom_site_label
_atom_site_type_symbol
_atom_site_fract_x
_atom_site_fract_y
_atom_site_fract_z
_atom_site_occupancy
Ta1 Ta 0.000 0.000 0.000 1
Re1 Re 0.254 0.500 0.225 1
Ag1 Ag 0.249 0.000 0.723 1
Ag2 Ag 0.499 0.000 0.496 1
# formation energy	0.4462	eV/atom
# electronic total energy	-7.05	eV per atom
# E above lowest polymorph	0.89	eV per formula unit

Entry 9:
# PBE RbGaN3, relaxed
data_RbGaN3
_cell_length_a 5.043
_cell_length_b 5.043
_cell_length_c 5.043
_cell_angle_alpha 90.00
_cell_angle_beta 90.00
_cell_angle_gamma 90.00
_space_group_name_H-M_alt 'P m -3 m'
_space_group_IT_number 221
_space_group_name_Hall '-P 4 2 3'
loop_
_atom_site_label
_atom_site_type_symbol
_atom_site_fract_x
_atom_site_fract_y
_atom_site_fract_z
_atom_site_occupancy
Rb1 Rb 0.000 0.000 0.000 1
Ga1 Ga 0.500 0.500 0.500 1
N1 N 0.000 0.000 0.500 1
# raw formation energy	2.820	eV/atom
# electronic total energy	-2.97	eV per atom

Entry 10:
# PBE AcGaSO2, relaxed
data_AcGaSO2
_cell_length_a 3.922
_cell_length_b 11.516
_cell_length_c 7.453
_cell_angle_alpha 90.00
_cell_angle_beta 90.00
_cell_angle_gamma 90.00
_space_group_name_H-M_alt 'C m c m'
_space_group_IT_number 63
_space_group_name_Hall '-C 2c 2'
loop_
_atom_site_label
_atom_site_type_symbol
_atom_site_fract_x
_atom_site_fract_y
_atom_site_fract_z
_atom_site_occupancy
Ac1 Ac 0.000 0.226 0.250 1
Ga1 Ga 0.000 0.500 0.000 1
S1 S 0.000 0.043 0.750 1
O1 O 0.000 0.345 0.550 1
# raw formation energy	-2.244	eV/atom
# electronic total energy	-6.48	eV per atom

Entry 11:
# PBE Pm4P, relaxed
data_Pm4P
_cell_length_a 5.555
_cell_length_b 5.555
_cell_length_c 5.555
_cell_angle_alpha 90.00
_cell_angle_beta 90.00
_cell_angle_gamma 90.00
_space_group_name_H-M_alt 'P m -3 m'
_space_group_IT_number 221
_space_group_name_Hall '-P 4 2 3'
loop_
_atom_site_label
_atom_site_type_symbol
_atom_site_fract_x
_atom_site_fract_y
_atom_site_fract_z
_atom_site_occupancy
Pm1 Pm 0.000 0.000 0.000 1
Pm2 Pm 0.000 0.500 0.500 1
P1 P 0.500 0.500 0.500 1
# formation energy	-0.3989	eV/atom
# electronic total energy	-5.28	eV per atom

Entry 12:
# PBE Li2TeBr5, relaxed
data_Li2TeBr5
_cell_length_a 6.110
_cell_length_b 16.498
_cell_length_c 12.033
_cell_angle_alpha 90.00
_cell_angle_beta 90.00
_cell_angle_gamma 90.00
_space_group_name_H-M_alt 'C m c m'
_space_group_IT_number 63
_space_group_name_Hall '-C 2c 2'
loop_
_atom_site_label
_atom_site_type_symbol
_atom_site_fract_x
_atom_site_fract_y
_atom_site_fract_z
_atom_site_occupancy
Li1 Li 0.000 0.199 0.060 1
Te1 Te 0.000 0.202 0.750 1
Br1 Br 0.000 0.087 0.591 1
Br2 Br 0.000 0.277 0.250 1
Br3 Br 0.000 0.318 0.579 1
# raw formation energy	-0.882	eV/atom
# electronic total energy	-2.80	eV per atom